## Nd2MgAl3 (GGA-PBE)

Data for a geometry-optimized Nd2MgAl3 structure.

Cell and atoms, written as CIF:
```
data_Nd2MgAl3
_symmetry_space_group_name_H-M 'F m m m'
_symmetry_Int_Tables_number 69
_symmetry_space_group_name_Hall '-F 2 2'
_cell_length_a 7.428
_cell_length_b 9.495
_cell_length_c 16.375
_cell_angle_alpha 90.00
_cell_angle_beta 90.00
_cell_angle_gamma 90.00
loop_
_atom_site_label
_atom_site_type_symbol
_atom_site_fract_x
_atom_site_fract_y
_atom_site_fract_z
Nd1 Nd 0.249 0.000 0.000
Nd2 Nd 0.250 0.250 0.250
Mg1 Mg 0.000 0.000 0.167
Al1 Al 0.000 0.000 0.337
Al2 Al 0.000 0.244 0.418
```

Values from the calculation:
raw total energy: -24.61 eV per formula unit
crystal system: orthorhombic
DFT formation energy: -2.25 eV/f.u.
energy above the lowest structure with this stoichiometry: 25 meV per atom

***

## Tm3Sn2Pb (GGA-PBE)

Data for a geometry-optimized Tm3Sn2Pb structure.

Cell and atoms, written as CIF:
```
data_Tm3Sn2Pb
_symmetry_space_group_name_H-M 'I m m m'
_symmetry_Int_Tables_number 71
_symmetry_space_group_name_Hall '-I 2 2'
_cell_length_a 4.370
_cell_length_b 4.494
_cell_length_c 16.811
_cell_angle_alpha 90.00
_cell_angle_beta 90.00
_cell_angle_gamma 90.00
loop_
_atom_site_label
_atom_site_type_symbol
_atom_site_fract_x
_atom_site_fract_y
_atom_site_fract_z
Tm1 Tm 0.000 0.000 0.000
Tm2 Tm 0.000 0.500 0.174
Sn1 Sn 0.000 0.500 0.356
Pb1 Pb 0.000 0.000 0.500
```

Values from the calculation:
raw total energy: -28.44 eV per formula unit
crystal system: orthorhombic
DFT formation energy: -3.31 eV/f.u.
energy above the lowest structure with this stoichiometry: 0 meV per atom

***

## SnHSe (GGA-PBE)

Data for a geometry-optimized SnHSe structure.

Cell and atoms, written as CIF:
```
data_SnHSe
_symmetry_space_group_name_H-M 'C 1 m 1'
_symmetry_Int_Tables_number 8
_symmetry_space_group_name_Hall 'C -2y'
_cell_length_a 13.187
_cell_length_b 4.165
_cell_length_c 5.442
_cell_angle_alpha 90.00
_cell_angle_beta 109.85
_cell_angle_gamma 90.00
loop_
_atom_site_label
_atom_site_type_symbol
_atom_site_fract_x
_atom_site_fract_y
_atom_site_fract_z
Sn1 Sn 0.000 0.000 0.000
Sn2 Sn 0.229 0.500 0.352
H1 H 0.294 0.000 0.899
H2 H 0.352 0.500 0.648
Se1 Se 0.139 0.000 0.550
Se2 Se 0.389 0.000 0.157
```

Values from the calculation:
raw total energy: -11.18 eV per formula unit
crystal system: monoclinic

***

## Pm2Be3ZnCu12 (GGA-PBE)

Data for a geometry-optimized Pm2Be3ZnCu12 structure.

Cell and atoms, written as CIF:
```
data_Pm2Be3ZnCu12
_symmetry_space_group_name_H-M 'R -3 m'
_symmetry_Int_Tables_number 166
_symmetry_space_group_name_Hall '-R 3 2"'
_cell_length_a 7.5159
_cell_length_b 7.5159
_cell_length_c 17.7903
_cell_angle_alpha 90.00
_cell_angle_beta 90.00
_cell_angle_gamma 120.00
loop_
_atom_site_label
_atom_site_type_symbol
_atom_site_fract_x
_atom_site_fract_y
_atom_site_fract_z
Pm1 Pm 0.0000 0.0000 0.1060
Be1 Be 0.0000 0.5000 0.0000
Zn1 Zn 0.0000 0.0000 0.5000
Cu1 Cu 0.0085 0.5043 0.8806
Cu2 Cu 0.0425 0.5212 0.3587
```

Values from the calculation:
raw total energy: -65.72 eV per formula unit
crystal system: trigonal
DFT formation energy: 5.39 eV/f.u.